# 1
Material: Zr3TeW
Method: DFT, PBE-GGA
State: optimized geometry

Properties
Uncorrected formation energy = 0.611 eV per atom
Energy above the lowest structure with this stoichiometry = 0 kJ/mol of formula units

Cell lengths 5.1166, 5.1166, 5.1166 Å; angles 90.00, 90.00, 90.00 degrees
Fractional coordinates of all 5 atoms:
Zr 0.0000 0.5000 0.0000
Zr 0.0000 0.0000 0.5000
Zr 0.5000 0.0000 0.0000
Te 0.5000 0.5000 0.5000
W 0.0000 0.0000 0.0000

=====

# 2
Material: Mg2SbPd8
Method: DFT, PBE-GGA
State: optimized geometry

Properties
Uncorrected formation energy = -0.448 eV per atom
Energy above the lowest structure with this stoichiometry = 29 kJ/mol of formula units

Cell lengths 4.5328, 5.9013, 7.8146 Å; angles 112.18, 106.86, 90.00 degrees
Fractional coordinates of all 11 atoms:
Pd 0.1770 0.1770 0.3539
Pd 0.0000 0.2632 0.0000
Pd 0.3522 0.1180 0.7045
Pd 0.0000 0.7368 0.0000
Pd 0.8230 0.8230 0.6461
Pd 0.6478 0.8820 0.2955
Pd 0.3522 0.5864 0.7045
Pd 0.6478 0.4136 0.2955
Mg 0.1872 0.6872 0.3743
Mg 0.8128 0.3128 0.6257
Sb 0.5000 0.0000 0.0000

=====

# 3
Material: CaCrSb2I
Method: DFT, PBE-GGA
State: optimized geometry

Properties
Uncorrected formation energy = 0.679 eV per atom
Energy above the lowest structure with this stoichiometry = 363 kJ/mol of formula units

Cell lengths 5.8645, 5.8645, 5.8482 Å; angles 90.00, 90.00, 90.00 degrees
Fractional coordinates of all 5 atoms:
Sb 0.5000 0.0000 0.0000
Sb 0.0000 0.5000 0.0000
Ca 0.0000 0.0000 0.0000
Cr 0.5000 0.5000 0.5000
I 0.0000 0.0000 0.5000

=====

# 4
Material: NpTcH6
Method: DFT, PBE-GGA
State: optimized geometry

Properties
E = -5.4213 eV/atom

Cell lengths 4.3218, 4.3218, 4.5204 Å; angles 61.44, 61.44, 60.00 degrees
Fractional coordinates of all 8 atoms:
H 0.1044 0.1044 0.2601
H 0.4690 0.8956 0.7399
H 0.8956 0.8956 0.7399
H 0.1044 0.5310 0.2601
H 0.5310 0.1044 0.2601
H 0.8956 0.4690 0.7399
Tc 0.0000 0.0000 0.0000
Np 0.5000 0.5000 0.5000

=====

# 5
Material: LiCrIr2
Method: DFT, PBE-GGA
State: optimized geometry

Properties
Energy of formation from the pure elements = -0.115 eV/atom

Cell lengths 8.7612, 8.7612, 8.7612 Å; angles 17.80, 17.80, 17.80 degrees
Fractional coordinates of all 4 atoms:
Cr 0.7500 0.7500 0.7500
Ir 0.4952 0.4952 0.4952
Ir 0.0048 0.0048 0.0048
Li 0.2500 0.2500 0.2500

=====

# 6
Material: ThMg2Cd4Ag
Method: DFT, PBE-GGA
State: optimized geometry

Properties
Energy of formation from the pure elements = -0.097 eV/atom

Cell lengths 4.8563, 4.8563, 9.4294 Å; angles 75.08, 75.08, 60.00 degrees
Fractional coordinates of all 8 atoms:
Ag 0.5000 0.5000 0.5000
Cd 0.6077 0.6077 0.1770
Cd 0.8714 0.8714 0.3857
Cd 0.3923 0.3923 0.8230
Cd 0.1286 0.1286 0.6143
Mg 0.7518 0.7518 0.7446
Mg 0.2482 0.2482 0.2554
Th 0.0000 0.0000 0.0000